Entry 1:
## AcDy5Tm (PBE-GGA)

Data for a geometry-optimized AcDy5Tm structure.

## Properties
**Density of states at the Fermi level**: 20.77 states/eV/cell
**Size of the total moment**: 0.00 Bohr magnetons per cell
**V**: 470 Å³ per cell
**Formation energy**: 69 kJ/mol of formula units

a = 6.6110 Å, b = 6.6110 Å, c = 11.9249 Å
α = 106.43°, β = 106.43°, γ = 95.71°
With the nearest neighbours (Å) after each atom.
Fractional coordinates of all 14 atoms:
Tm 0.4836 0.5164 0.7500  9 Dy 3.32-3.62
Dy 0.5280 0.2398 0.4652  6 Dy 3.31-3.56, 2 Tm 3.38-3.48, 1 Ac 3.61
Dy 0.1781 0.8219 0.2500  6 Dy 3.31-3.56, 1 Tm 3.32, 2 Ac 3.46
Tm 0.5164 0.4836 0.2500  9 Dy 3.32-3.62
Dy 0.0356 0.3834 0.3302  5 Dy 3.39-3.72, 2 Tm 3.48-3.62, 1 Ac 3.69
Dy 0.7602 0.4720 0.0348  6 Dy 3.31-3.56, 2 Tm 3.38-3.48, 1 Ac 3.61
Dy 0.3834 0.0356 0.8302  5 Dy 3.39-3.72, 2 Tm 3.48-3.62, 1 Ac 3.69
Dy 0.9644 0.6166 0.6698  5 Dy 3.39-3.72, 2 Tm 3.48-3.62, 1 Ac 3.69
Dy 0.6166 0.9644 0.1698  5 Dy 3.39-3.72, 2 Tm 3.48-3.62, 1 Ac 3.69
Ac 0.0000 0.0000 0.5000  8 Dy 3.46-3.87
Dy 0.8219 0.1781 0.7500  6 Dy 3.31-3.56, 1 Tm 3.32, 2 Ac 3.46
Ac 0.0000 0.0000 0.0000  8 Dy 3.46-3.87
Dy 0.4720 0.7602 0.5348  6 Dy 3.31-3.56, 2 Tm 3.38-3.48, 1 Ac 3.61
Dy 0.2398 0.5280 0.9652  6 Dy 3.31-3.56, 2 Tm 3.38-3.48, 1 Ac 3.61


Entry 2:
## Zr3Tl2Hg (PBE-GGA)

Data for a geometry-optimized Zr3Tl2Hg structure.

## Properties
**Density of states at the Fermi level**: 4.86 states/eV/cell
**Size of the total moment**: 0.00 Bohr magnetons per cell
**V**: 135 Å³ per cell
**Formation energy**: -64 kJ/mol of formula units

a = 3.2138 Å, b = 3.2138 Å, c = 13.0241 Å
α = 90.00°, β = 90.00°, γ = 90.00°
With the nearest neighbours (Å) after each atom.
Fractional coordinates of all 6 atoms:
Zr 0.0000 0.0000 0.0000  8 Tl 3.16, 4 Zr 3.21
Zr 0.0000 0.0000 0.3386  4 Hg 3.10, 4 Tl 3.17, 4 Zr 3.21
Tl 0.5000 0.5000 0.1690  8 Zr 3.16-3.17, 4 Tl 3.21
Zr 0.0000 0.0000 0.6614  4 Hg 3.10, 4 Tl 3.17, 4 Zr 3.21
Tl 0.5000 0.5000 0.8310  8 Zr 3.16-3.17, 4 Tl 3.21
Hg 0.5000 0.5000 0.5000  8 Zr 3.10, 4 Hg 3.21


Entry 3:
## OsSe3Cl (PBE-GGA)

Data for a geometry-optimized OsSe3Cl structure.

## Properties
**Raw formation energy**: -0.05 eV per atom
**Density of states at the Fermi level**: 3.22 states/eV/cell
**Size of the total moment**: 0.00 Bohr magnetons per cell
**V**: 276 Å³ per cell

a = 3.9795 Å, b = 8.8813 Å, c = 10.5585 Å
α = 127.51°, β = 75.99°, γ = 111.30°
With the nearest neighbours (Å) after each atom.
Fractional coordinates of all 10 atoms:
Se 0.1324 0.4437 0.6691  1 Cl 2.26, 1 Os 2.34
Se 0.1165 0.0292 0.6098  1 Se 2.39, 1 Os 2.41
Cl 0.2182 0.7712 0.7996  1 Se 2.26
Cl 0.7818 0.2288 0.2004  1 Se 2.26
Se 0.8835 0.9708 0.3902  1 Se 2.39, 1 Os 2.41
Os 0.8751 0.6408 0.1591  5 Se 2.34-2.58
Os 0.1249 0.3592 0.8409  5 Se 2.34-2.58
Se 0.8676 0.5563 0.3309  1 Cl 2.26, 1 Os 2.34
Se 0.5356 0.2974 0.9505  3 Os 2.38-2.58
Se 0.4644 0.7026 0.0495  3 Os 2.38-2.58


Entry 4:
## La6FeOs2Br3 (PBE-GGA)

Data for a geometry-optimized La6FeOs2Br3 structure.

## Properties
**Raw formation energy**: -0.72 eV per atom
**Density of states at the Fermi level**: 12.36 states/eV/cell
**Size of the total moment**: 0.13 Bohr magnetons per cell
**V**: 353 Å³ per cell

a = 7.2105 Å, b = 7.2105 Å, c = 8.2104 Å
α = 98.42°, β = 98.42°, γ = 120.00°
With the nearest neighbours (Å) after each atom.
Fractional coordinates of all 12 atoms:
Os 0.3334 0.6666 0.0000  6 La 2.86
Br 0.8327 0.1673 0.5000  6 La 3.39-3.42
Br 0.1673 0.8327 0.5000  6 La 3.39-3.42
La 0.0646 0.3927 0.1939  1 Fe 2.81, 2 Os 2.86
Fe 0.0000 0.0000 0.0000  6 La 2.81
La 0.7368 0.7368 0.1941  1 Fe 2.81, 2 Os 2.86
La 0.6073 0.9354 0.8061  1 Fe 2.81, 2 Os 2.86
Br 0.5000 0.5000 0.5000  6 La 3.39-3.43
La 0.2632 0.2632 0.8059  1 Fe 2.81, 2 Os 2.86
La 0.3927 0.0646 0.1939  1 Fe 2.81, 2 Os 2.86
Os 0.6666 0.3334 0.0000  6 La 2.86
La 0.9354 0.6073 0.8061  1 Fe 2.81, 2 Os 2.86


Entry 5:
## LaP2O2 (PBE-GGA)

Data for a geometry-optimized LaP2O2 structure.

## Properties
**Raw formation energy**: -0.44 eV per atom
**Density of states at the Fermi level**: 2.72 states/eV/cell
**Size of the total moment**: 1.05 Bohr magnetons per cell
**V**: 118 Å³ per cell

a = 4.1392 Å, b = 4.1392 Å, c = 6.8637 Å
α = 90.00°, β = 90.00°, γ = 90.00°
With the nearest neighbours (Å) after each atom.
Fractional coordinates of all 5 atoms:
O 0.5000 0.0000 0.0000  2 La 2.07
P 0.5000 0.5000 0.5000  4 P 2.93
O 0.0000 0.5000 0.0000  2 La 2.07
P 0.0000 0.0000 0.5000  4 P 2.93
La 0.0000 0.0000 0.0000  4 O 2.07


Entry 6:
## CsBaSmF6 (PBE-GGA)

Data for a geometry-optimized CsBaSmF6 structure.

## Properties
**Raw formation energy**: -3.66 eV per atom
**Density of states at the Fermi level**: 0.00 states/eV/cell
**Size of the total moment**: 0.10 Bohr magnetons per cell
**V**: 423 Å³ per cell

a = 8.5507 Å, b = 8.4429 Å, c = 8.3913 Å
α = 120.20°, β = 120.63°, γ = 90.00°
With the nearest neighbours (Å) after each atom.
Fractional coordinates of all 18 atoms:
F 0.5510 0.3951 0.7340  1 Sm 2.23
F 0.8694 0.1194 0.7387  2 Ba 2.55
F 0.8170 0.1611 0.2660  1 Sm 2.23
Cs 0.8567 0.6067 0.7133  9 F 3.21-3.59
F 0.1830 0.3951 0.7340  1 Sm 2.23
Cs 0.1433 0.3933 0.2867  9 F 3.21-3.59
Sm 0.5000 0.0000 0.0000  6 F 2.23-2.29
Sm 0.5000 0.5000 0.0000  6 F 2.23-2.29
Ba 0.0000 0.0000 0.5000  6 F 2.55-2.78
F 0.1830 0.8389 0.7340  1 Sm 2.23
F 0.4249 0.1749 0.8497  2 Sm 2.29
F 0.5751 0.8251 0.1503  2 Sm 2.29
F 0.4490 0.1611 0.2660  1 Sm 2.23
F 0.5510 0.8389 0.7340  1 Sm 2.23
F 0.4490 0.6049 0.2660  1 Sm 2.23
Ba 0.5000 0.0000 0.5000  6 F 2.55-2.78
F 0.8170 0.6049 0.2660  1 Sm 2.23
F 0.1306 0.8806 0.2613  2 Ba 2.55


Entry 7:
## K2BaTcRu (PBE-GGA)

Data for a geometry-optimized K2BaTcRu structure.

## Properties
**Density of states at the Fermi level**: 7.83 states/eV/cell
**Size of the total moment**: 3.98 Bohr magnetons per cell
**V**: 223 Å³ per cell
**Formation energy**: 1020 kJ/mol of formula units

a = 6.6157 Å, b = 5.0980 Å, c = 6.6157 Å
α = 90.00°, β = 90.00°, γ = 90.00°
With the nearest neighbours (Å) after each atom.
Fractional coordinates of all 5 atoms:
K 0.5000 0.0000 0.0000  2 Ba 3.31
Ba 0.0000 0.0000 0.0000  2 Tc 2.55
Ru 0.5000 0.5000 0.5000  8 K 4.18
K 0.0000 0.0000 0.5000  2 Ba 3.31
Tc 0.0000 0.5000 0.0000  2 Ba 2.55